{"formula": "CeHo4Se5", "functional": "PBE", "state": "optimized geometry", "dos_ef_per_ev_cell": 9.6, "e_form_raw_ev_per_atom": -1.75, "sg": "C2/m, No. 12", "rho_g_cm3": 8.23, "cell": [[6.806, -2.032, 0.000], [6.806, 2.032, 0.000], [-4.979, 0.000, 8.712]], "species": ["Ce", "Ho", "Ho", "Ho", "Ho", "Se", "Se", "Se", "Se", "Se"], "frac_coords": [[0.000, 0.000, 0.000], [0.204, 0.204, 0.801], [0.402, 0.402, 0.605], [0.598, 0.598, 0.395], [0.796, 0.796, 0.199], [0.000, 0.000, 0.500], [0.204, 0.204, 0.309], [0.395, 0.395, 0.105], [0.605, 0.605, 0.895], [0.796, 0.796, 0.691]]}

=====

{"formula": "HfIO2F", "functional": "PBE", "state": "optimized geometry", "dos_ef_per_ev_cell": 3.6, "e_form_raw_ev_per_atom": -1.99, "sg": "P4/mmm, No. 123", "rho_g_cm3": 7.80, "cell": [[4.216, 0.000, 0.000], [0.000, 4.216, 0.000], [0.000, 0.000, 4.267]], "species": ["Hf", "I", "O", "O", "F"], "frac_coords": [[0.000, 0.000, 0.000], [0.500, 0.500, 0.500], [0.000, 0.500, 0.000], [0.500, 0.000, 0.000], [0.000, 0.000, 0.500]]}

=====

{"formula": "SrLi9Cd2", "functional": "PBE", "state": "optimized geometry", "dos_ef_per_ev_cell": 11.5, "de_polymorph_ev_per_atom": 0.000, "sg": "I4_1/amd, No. 141", "rho_g_cm3": 2.32, "delta_e_f_ev_per_fu": -1.3, "cell": [[-5.916, 5.916, 3.831], [5.916, -5.916, 3.831], [5.916, 5.916, -3.831]], "species": ["Sr", "Sr", "Li", "Li", "Li", "Li", "Li", "Li", "Li", "Li", "Li", "Li", "Li", "Li", "Li", "Li", "Li", "Li", "Li", "Li", "Cd", "Cd", "Cd", "Cd"], "frac_coords": [[0.375, 0.625, 0.750], [0.625, 0.375, 0.250], [0.125, 0.875, 0.250], [0.141, 0.564, 0.330], [0.141, 0.811, 0.577], [0.189, 0.266, 0.330], [0.189, 0.859, 0.923], [0.266, 0.189, 0.830], [0.266, 0.436, 0.077], [0.436, 0.266, 0.577], [0.436, 0.859, 0.170], [0.564, 0.141, 0.830], [0.564, 0.734, 0.423], [0.734, 0.564, 0.923], [0.734, 0.811, 0.170], [0.811, 0.141, 0.077], [0.811, 0.734, 0.670], [0.859, 0.189, 0.423], [0.859, 0.436, 0.670], [0.875, 0.125, 0.750], [0.000, 0.000, 0.000], [0.000, 0.000, 0.500], [0.000, 0.500, 0.000], [0.500, 0.000, 0.500]]}

=====

{"formula": "TbPr12Sm7", "functional": "PBE", "state": "optimized geometry", "dos_ef_per_ev_cell": 31.2, "de_polymorph_ev_per_atom": 0.000, "sg": "R-3, No. 148", "rho_g_cm3": 6.86, "delta_e_f_ev_per_fu": 2.9, "cell": [[7.735, 4.466, 3.390], [-7.735, 4.466, 3.390], [0.000, -8.931, 3.390]], "species": ["Tb", "Pr", "Pr", "Pr", "Pr", "Pr", "Pr", "Pr", "Pr", "Pr", "Pr", "Pr", "Pr", "Sm", "Sm", "Sm", "Sm", "Sm", "Sm", "Sm"], "frac_coords": [[0.000, 0.000, 0.000], [0.055, 0.294, 0.381], [0.220, 0.691, 0.418], [0.294, 0.381, 0.055], [0.309, 0.582, 0.780], [0.381, 0.055, 0.294], [0.418, 0.220, 0.691], [0.582, 0.780, 0.309], [0.619, 0.945, 0.706], [0.691, 0.418, 0.220], [0.706, 0.619, 0.945], [0.780, 0.309, 0.582], [0.945, 0.706, 0.619], [0.000, 0.120, 0.677], [0.000, 0.880, 0.323], [0.120, 0.677, 0.000], [0.323, 0.000, 0.880], [0.500, 0.500, 0.500], [0.677, 0.000, 0.120], [0.880, 0.323, 0.000]]}

=====

{"formula": "Rb2LaHgBi", "functional": "PBE", "state": "optimized geometry", "dos_ef_per_ev_cell": 1.3, "sg": "P4/mmm, No. 123", "rho_g_cm3": 3.69, "delta_e_f_ev_per_fu": -0.2, "cell": [[7.209, 0.000, 0.000], [0.000, 7.209, 0.000], [0.000, 0.000, 6.229]], "species": ["Rb", "Rb", "La", "Hg", "Bi"], "frac_coords": [[0.000, 0.500, 0.000], [0.500, 0.000, 0.000], [0.000, 0.000, 0.500], [0.500, 0.500, 0.500], [0.000, 0.000, 0.000]]}

=====

{"formula": "RbYMn2Rh", "functional": "PBE", "state": "optimized geometry", "dos_ef_per_ev_cell": 5.4, "sg": "P4/mmm, No. 123", "rho_g_cm3": 4.69, "delta_e_f_ev_per_fu": 4.9, "cell": [[4.989, 0.000, 0.000], [0.000, 4.989, 0.000], [0.000, 0.000, 5.508]], "species": ["Rb", "Y", "Mn", "Mn", "Rh"], "frac_coords": [[0.000, 0.000, 0.000], [0.500, 0.500, 0.000], [0.000, 0.500, 0.500], [0.500, 0.000, 0.500], [0.000, 0.000, 0.500]]}

=====

{"formula": "Pm3Tl2Pd7", "functional": "PBE", "state": "optimized geometry", "dos_ef_per_ev_cell": 6.4, "sg": "P2/m, No. 10", "rho_g_cm3": 10.18, "delta_e_f_ev_per_fu": -6.7, "cell": [[4.234, 0.000, 0.000], [0.000, 4.074, 0.000], [-2.103, 0.000, 15.026]], "species": ["Pm", "Pm", "Pm", "Tl", "Tl", "Pd", "Pd", "Pd", "Pd", "Pd", "Pd", "Pd"], "frac_coords": [[0.000, 0.000, 0.000], [0.309, 0.500, 0.616], [0.691, 0.500, 0.384], [0.130, 0.000, 0.262], [0.870, 0.000, 0.738], [0.069, 0.500, 0.139], [0.223, 0.000, 0.445], [0.429, 0.000, 0.858], [0.500, 0.500, 0.000], [0.571, 0.000, 0.142], [0.777, 0.000, 0.555], [0.931, 0.500, 0.861]]}

=====

{"formula": "DyCd3Pt4", "functional": "PBE", "state": "optimized geometry", "dos_ef_per_ev_cell": 5.4, "sg": "Pmma, No. 51", "rho_g_cm3": 14.42, "delta_e_f_ev_per_fu": -4.7, "cell": [[9.746, 0.000, 0.000], [0.000, 6.055, 0.000], [0.000, 0.000, 4.994]], "species": ["Dy", "Dy", "Cd", "Cd", "Cd", "Cd", "Cd", "Cd", "Pt", "Pt", "Pt", "Pt", "Pt", "Pt", "Pt", "Pt"], "frac_coords": [[0.000, 0.000, 0.000], [0.500, 0.000, 0.000], [0.000, 0.500, 0.000], [0.250, 0.000, 0.417], [0.250, 0.500, 0.399], [0.500, 0.500, 0.000], [0.750, 0.000, 0.583], [0.750, 0.500, 0.601], [0.000, 0.255, 0.500], [0.000, 0.745, 0.500], [0.250, 0.260, 0.895], [0.250, 0.740, 0.895], [0.500, 0.255, 0.500], [0.500, 0.745, 0.500], [0.750, 0.260, 0.105], [0.750, 0.740, 0.105]]}